This record from Alexandria via LeMat-Bulk describes a relaxed structure of NdU2RuN4. The functional is GGA-PBE.

Density   11.2 g/cm³
Space group   Cmcm
E_form (uncorrected)   -1.066 eV per atom
Electronic total energy   -156.90 eV for the cell shown

Cell: 3.4232 6.0743 11.5418 Å, 90.00 90.00 106.37°
Element x y z (fractional)
Nd 0.8950 0.7899 0.2500
Nd 0.1050 0.2101 0.7500
Ru 0.8435 0.6870 0.7500
Ru 0.1565 0.3130 0.2500
N 0.2715 0.5431 0.1060
N 0.7285 0.4569 0.6060
N 0.5498 0.0997 0.2500
N 0.0000 0.0000 0.0000
N 0.0000 0.0000 0.5000
N 0.7285 0.4569 0.8940
N 0.4502 0.9003 0.7500
N 0.2715 0.5431 0.3940
U 0.3702 0.7404 0.5562
U 0.6298 0.2596 0.4438
U 0.6298 0.2596 0.0562
U 0.3702 0.7404 0.9438